Record 1
Computed, not measured: an optimized crystal structure of Co2AsCl at the GGA-PBE level of DFT.

The space group is C2/m (No. 12) and the conventional cell measures 6.162, 3.549 and 6.036 Å, with angles of 90.00, 110.39 and 90.00 degrees. The distinct sites, in fractional coordinates, are Co at (0.227, 0.000, 0.177), As at (0.000, 0.500, 0.000) and Cl at (0.000, 0.000, 0.500).

The value obtained for the raw total energy is -5.113 eV per atom. The value obtained for the excess energy over the best structure of this formula in the dataset is 106 meV per atom.

Record 2
Computed, not measured: an optimized crystal structure of CoAsCl3 at the GGA-PBE level of DFT.

The space group is Pm-3m (No. 221) and the conventional cell measures 4.566, 4.566 and 4.566 Å, with angles of 90.00, 90.00 and 90.00 degrees. The distinct sites, in fractional coordinates, are Co at (0.000, 0.000, 0.000), As at (0.500, 0.500, 0.500) and Cl at (0.000, 0.000, 0.500).

The value obtained for the raw total energy is -3.286 eV per atom. The value obtained for the excess energy over the best structure of this formula in the dataset is 0 meV per atom.

Record 3
Computed, not measured: an optimized crystal structure of CoAsCl at the GGA-PBE level of DFT.

The space group is Fmm2 (No. 42) and the conventional cell measures 3.568, 5.029 and 13.013 Å, with angles of 90.00, 90.00 and 90.00 degrees. The distinct sites, in fractional coordinates, are Co at (0.000, 0.000, 0.000), As at (0.000, 0.000, 0.384) and Cl at (0.000, 0.000, 0.620).

The value obtained for the raw total energy is -4.477 eV per atom. The value obtained for the excess energy over the best structure of this formula in the dataset is 224 meV per atom.

Record 4
Computed, not measured: an optimized crystal structure of CoAsCl2 at the GGA-PBE level of DFT.

The space group is Cm (No. 8) and the conventional cell measures 6.080, 3.512 and 8.251 Å, with angles of 90.00, 91.55 and 90.00 degrees. The distinct sites, in fractional coordinates, are Co at (0.000, 0.000, 0.000), As at (0.171, 0.500, 0.129), Cl at (0.181, 0.500, 0.392) and Cl at (0.327, 0.000, 0.836).

The value obtained for the raw total energy is -4.322 eV per atom. The value obtained for the excess energy over the best structure of this formula in the dataset is 0 meV per atom.

Record 5
Computed, not measured: an optimized crystal structure of CoAsCl2 at the GGA-PBE level of DFT.

The space group is Imm2 (No. 44) and the conventional cell measures 3.140, 5.001 and 13.514 Å, with angles of 90.00, 90.00 and 90.00 degrees. The distinct sites, in fractional coordinates, are Co at (0.000, 0.000, 0.000), As at (0.000, 0.500, 0.637), Cl at (0.000, 0.000, 0.597) and Cl at (0.000, 0.500, 0.380).

The value obtained for the raw total energy is -3.985 eV per atom. The value obtained for the excess energy over the best structure of this formula in the dataset is 337 meV per atom.

Record 6
Computed, not measured: an optimized crystal structure of CoAs2Cl at the GGA-PBE level of DFT.

The space group is I4/mmm (No. 139) and the conventional cell measures 5.113, 5.113 and 5.500 Å, with angles of 90.00, 90.00 and 90.00 degrees. The distinct sites, in fractional coordinates, are Co at (0.000, 0.000, 0.000), As at (0.000, 0.500, 0.000) and Cl at (0.000, 0.000, 0.500).

The value obtained for the raw total energy is -4.228 eV per atom. The value obtained for the excess energy over the best structure of this formula in the dataset is 536 meV per atom.